(1)
Computed, not measured: ZrCd3Ga after structural relaxation at the PBE level of DFT.

Geometry as CIF:
```
data_ZrCd3Ga
_chemical_formula_sum 'Zr1 Cd3 Ga1'
_symmetry_space_group_name_H-M 'P m -3 m'
_symmetry_Int_Tables_number 221
_symmetry_space_group_name_Hall '-P 4 2 3'
_cell_length_a 5.6687
_cell_length_b 5.6687
_cell_length_c 5.6687
_cell_angle_alpha 90.00
_cell_angle_beta 90.00
_cell_angle_gamma 90.00
loop_
_atom_site_label
_atom_site_fract_x
_atom_site_fract_y
_atom_site_fract_z
Zr1 0.0000 0.0000 0.0000
Cd1 0.0000 0.0000 0.5000
Ga1 0.5000 0.5000 0.5000
```

Computed properties:
Total energy, eV/cell: -9.93
Calculated density, g/cm³: 4.5
Energy relative to the lowest polymorph listed for this composition, eV per atom: 0.305

(2)
Computed, not measured: ZrCd3Ga after structural relaxation at the PBE level of DFT.

Geometry as CIF:
```
data_ZrCd3Ga
_chemical_formula_sum 'Zr1 Cd3 Ga1'
_symmetry_space_group_name_H-M 'P m -3 m'
_symmetry_Int_Tables_number 221
_symmetry_space_group_name_Hall '-P 4 2 3'
_cell_length_a 4.9822
_cell_length_b 4.9822
_cell_length_c 4.9822
_cell_angle_alpha 90.00
_cell_angle_beta 90.00
_cell_angle_gamma 90.00
loop_
_atom_site_label
_atom_site_fract_x
_atom_site_fract_y
_atom_site_fract_z
Zr1 0.0000 0.0000 0.0000
Cd1 0.0000 0.5000 0.5000
Ga1 0.5000 0.5000 0.5000
```

Computed properties:
Total energy, eV/cell: -11.46
Calculated density, g/cm³: 6.7
Energy relative to the lowest polymorph listed for this composition, eV per atom: 0.000

(3)
Computed, not measured: ZrCdGa after structural relaxation at the PBE level of DFT.

Geometry as CIF:
```
data_ZrCdGa
_chemical_formula_sum 'Zr2 Cd2 Ga2'
_symmetry_space_group_name_H-M 'I 4 m m'
_symmetry_Int_Tables_number 107
_symmetry_space_group_name_Hall 'I 4 -2'
_cell_length_a 3.1105
_cell_length_b 3.1105
_cell_length_c 12.4574
_cell_angle_alpha 90.00
_cell_angle_beta 90.00
_cell_angle_gamma 90.00
loop_
_atom_site_label
_atom_site_fract_x
_atom_site_fract_y
_atom_site_fract_z
Zr1 0.0000 0.0000 0.0000
Cd1 0.0000 0.0000 0.6819
Ga1 0.0000 0.0000 0.3455
```

Computed properties:
Total energy, eV/cell: -26.16
Calculated density, g/cm³: 7.5

(4)
Computed, not measured: ZrCd2Ga2 after structural relaxation at the PBE level of DFT.

Geometry as CIF:
```
data_ZrCd2Ga2
_chemical_formula_sum 'Zr2 Cd4 Ga4'
_symmetry_space_group_name_H-M 'P 4/m b m'
_symmetry_Int_Tables_number 127
_symmetry_space_group_name_Hall '-P 4 2ab'
_cell_length_a 7.7748
_cell_length_b 7.7748
_cell_length_c 3.3421
_cell_angle_alpha 90.00
_cell_angle_beta 90.00
_cell_angle_gamma 90.00
loop_
_atom_site_label
_atom_site_fract_x
_atom_site_fract_y
_atom_site_fract_z
Zr1 0.0000 0.0000 0.0000
Cd1 0.1599 0.3401 0.5000
Ga1 0.1400 0.6400 0.0000
```

Computed properties:
Total energy, eV/cell: -33.27
Calculated density, g/cm³: 7.5
Energy relative to the lowest polymorph listed for this composition, eV per atom: 0.006

(5)
Computed, not measured: Zr6CdGa3 after structural relaxation at the PBE level of DFT.

Geometry as CIF:
```
data_Zr6CdGa3
_chemical_formula_sum 'Zr12 Cd2 Ga6'
_symmetry_space_group_name_H-M 'P 1 21/c 1'
_symmetry_Int_Tables_number 14
_symmetry_space_group_name_Hall '-P 2ybc'
_cell_length_a 7.7820
_cell_length_b 7.0351
_cell_length_c 10.9351
_cell_angle_alpha 90.00
_cell_angle_beta 134.30
_cell_angle_gamma 90.00
loop_
_atom_site_label
_atom_site_fract_x
_atom_site_fract_y
_atom_site_fract_z
Zr1 0.0548 0.1416 0.3010
Zr2 0.2155 0.1566 0.6552
Zr3 0.3851 0.6384 0.8238
Cd1 0.5000 0.0000 0.0000
Ga1 0.0000 0.0000 0.0000
Ga2 0.2953 0.6782 0.0432
```

Computed properties:
Total energy, eV/cell: -125.86
Calculated density, g/cm³: 6.7

(6)
Computed, not measured: ZrCd2Ga2 after structural relaxation at the PBE level of DFT.

Geometry as CIF:
```
data_ZrCd2Ga2
_chemical_formula_sum 'Zr2 Cd4 Ga4'
_symmetry_space_group_name_H-M 'I 4/m m m'
_symmetry_Int_Tables_number 139
_symmetry_space_group_name_Hall '-I 4 2'
_cell_length_a 4.0800
_cell_length_b 4.0800
_cell_length_c 12.0484
_cell_angle_alpha 90.00
_cell_angle_beta 90.00
_cell_angle_gamma 90.00
loop_
_atom_site_label
_atom_site_fract_x
_atom_site_fract_y
_atom_site_fract_z
Zr1 0.0000 0.0000 0.0000
Cd1 0.0000 0.5000 0.2500
Ga1 0.0000 0.0000 0.4027
```

Computed properties:
Total energy, eV/cell: -33.33
Calculated density, g/cm³: 7.5
Energy relative to the lowest polymorph listed for this composition, eV per atom: 0.000

(7)
Computed, not measured: ZrCdGa2 after structural relaxation at the PBE level of DFT.

Geometry as CIF:
```
data_ZrCdGa2
_chemical_formula_sum 'Zr1 Cd1 Ga2'
_symmetry_space_group_name_H-M 'P 4/m m m'
_symmetry_Int_Tables_number 123
_symmetry_space_group_name_Hall '-P 4 2'
_cell_length_a 4.2975
_cell_length_b 4.2975
_cell_length_c 4.0473
_cell_angle_alpha 90.00
_cell_angle_beta 90.00
_cell_angle_gamma 90.00
loop_
_atom_site_label
_atom_site_fract_x
_atom_site_fract_y
_atom_site_fract_z
Zr1 0.0000 0.0000 0.0000
Cd1 0.5000 0.5000 0.0000
Ga1 0.0000 0.5000 0.5000
```

Computed properties:
Total energy, eV/cell: -17.02
Calculated density, g/cm³: 7.6

(8)
Computed, not measured: Zr2CdGa after structural relaxation at the PBE level of DFT.

Geometry as CIF:
```
data_Zr2CdGa
_chemical_formula_sum 'Zr6 Cd3 Ga3'
_symmetry_space_group_name_H-M 'R -3 m'
_symmetry_Int_Tables_number 166
_symmetry_space_group_name_Hall '-R 3 2"'
_cell_length_a 4.0317
_cell_length_b 4.0317
_cell_length_c 19.6728
_cell_angle_alpha 90.00
_cell_angle_beta 90.00
_cell_angle_gamma 120.00
loop_
_atom_site_label
_atom_site_fract_x
_atom_site_fract_y
_atom_site_fract_z
Zr1 0.0000 0.0000 0.2356
Cd1 0.0000 0.0000 0.0000
Ga1 0.0000 0.0000 0.5000
```

Computed properties:
Total energy, eV/cell: -63.32
Calculated density, g/cm³: 6.6

(9)
Computed, not measured: ZrCdGa2 after structural relaxation at the PBE level of DFT.

Geometry as CIF:
```
data_ZrCdGa2
_chemical_formula_sum 'Zr4 Cd4 Ga8'
_symmetry_space_group_name_H-M 'I -4 2 d'
_symmetry_Int_Tables_number 122
_symmetry_space_group_name_Hall 'I -4 2bw'
_cell_length_a 7.4218
_cell_length_b 7.4218
_cell_length_c 6.0068
_cell_angle_alpha 90.00
_cell_angle_beta 90.00
_cell_angle_gamma 90.00
loop_
_atom_site_label
_atom_site_fract_x
_atom_site_fract_y
_atom_site_fract_z
Zr1 0.0000 0.0000 0.0000
Cd1 0.0000 0.0000 0.5000
Ga1 0.2359 0.2500 0.6250
```

Computed properties:
Total energy, eV/cell: -62.68
Calculated density, g/cm³: 6.9

(10)
Computed, not measured: GdCd5 after structural relaxation at the PBE level of DFT.

Geometry as CIF:
```
data_GdCd5
_chemical_formula_sum 'Gd2 Cd10'
_symmetry_space_group_name_H-M 'C m m m'
_symmetry_Int_Tables_number 65
_symmetry_space_group_name_Hall '-C 2 2'
_cell_length_a 4.6274
_cell_length_b 13.0328
_cell_length_c 4.7280
_cell_angle_alpha 90.00
_cell_angle_beta 90.00
_cell_angle_gamma 90.00
loop_
_atom_site_label
_atom_site_fract_x
_atom_site_fract_y
_atom_site_fract_z
Gd1 0.0000 0.0000 0.0000
Cd1 0.0000 0.1666 0.5000
Cd2 0.0000 0.3247 0.0000
Cd3 0.0000 0.5000 0.5000
```

Computed properties:
Total energy, eV/cell: -39.50
Calculated density, g/cm³: 8.4

(11)
Computed, not measured: GdCd6 after structural relaxation at the PBE level of DFT.

Geometry as CIF:
```
data_GdCd6
_chemical_formula_sum 'Gd2 Cd12'
_symmetry_space_group_name_H-M 'I m -3 m'
_symmetry_Int_Tables_number 229
_symmetry_space_group_name_Hall '-I 4 2 3'
_cell_length_a 7.7323
_cell_length_b 7.7323
_cell_length_c 7.7323
_cell_angle_alpha 90.00
_cell_angle_beta 90.00
_cell_angle_gamma 90.00
loop_
_atom_site_label
_atom_site_fract_x
_atom_site_fract_y
_atom_site_fract_z
Gd1 0.0000 0.0000 0.0000
Cd1 0.0000 0.2500 0.5000
```

Computed properties:
Total energy, eV/cell: -33.58
Calculated density, g/cm³: 6.0

(12)
Computed, not measured: GdCd3 after structural relaxation at the PBE level of DFT.

Geometry as CIF:
```
data_GdCd3
_chemical_formula_sum 'Gd1 Cd3'
_symmetry_space_group_name_H-M 'P 4/m m m'
_symmetry_Int_Tables_number 123
_symmetry_space_group_name_Hall '-P 4 2'
_cell_length_a 4.5703
_cell_length_b 4.5703
_cell_length_c 4.7472
_cell_angle_alpha 90.00
_cell_angle_beta 90.00
_cell_angle_gamma 90.00
loop_
_atom_site_label
_atom_site_fract_x
_atom_site_fract_y
_atom_site_fract_z
Gd1 0.0000 0.0000 0.0000
Cd1 0.0000 0.5000 0.5000
Cd2 0.5000 0.5000 0.0000
```

Computed properties:
Total energy, eV/cell: -17.80
Calculated density, g/cm³: 8.3

(13)
Computed, not measured: GdCd3 after structural relaxation at the PBE level of DFT.

Geometry as CIF:
```
data_GdCd3
_chemical_formula_sum 'Gd2 Cd6'
_symmetry_space_group_name_H-M 'P 63/m m c'
_symmetry_Int_Tables_number 194
_symmetry_space_group_name_Hall '-P 6c 2c'
_cell_length_a 6.6763
_cell_length_b 6.6763
_cell_length_c 5.0133
_cell_angle_alpha 90.00
_cell_angle_beta 90.00
_cell_angle_gamma 120.00
loop_
_atom_site_label
_atom_site_fract_x
_atom_site_fract_y
_atom_site_fract_z
Gd1 0.3333 0.6667 0.2500
Cd1 0.1614 0.3227 0.7500
```

Computed properties:
Total energy, eV/cell: -35.94
Calculated density, g/cm³: 8.5

(14)
Computed, not measured: GdCd2Ge after structural relaxation at the PBE level of DFT.

Geometry as CIF:
```
data_GdCd2Ge
_chemical_formula_sum 'Gd3 Cd6 Ge3'
_symmetry_space_group_name_H-M 'R -3 m'
_symmetry_Int_Tables_number 166
_symmetry_space_group_name_Hall '-R 3 2"'
_cell_length_a 3.2448
_cell_length_b 3.2448
_cell_length_c 33.1532
_cell_angle_alpha 90.00
_cell_angle_beta 90.00
_cell_angle_gamma 120.00
loop_
_atom_site_label
_atom_site_fract_x
_atom_site_fract_y
_atom_site_fract_z
Gd1 0.0000 0.0000 0.0000
Cd1 0.0000 0.0000 0.0948
Ge1 0.0000 0.0000 0.5000
```

Computed properties:
Total energy, eV/cell: -58.47
Calculated density, g/cm³: 7.5
Energy relative to the lowest polymorph listed for this composition, eV per atom: 0.654

(15)
Computed, not measured: GdCd2Ge after structural relaxation at the PBE level of DFT.

Geometry as CIF:
```
data_GdCd2Ge
_chemical_formula_sum 'Gd1 Cd2 Ge1'
_symmetry_space_group_name_H-M 'P 4/m m m'
_symmetry_Int_Tables_number 123
_symmetry_space_group_name_Hall '-P 4 2'
_cell_length_a 4.3004
_cell_length_b 4.3004
_cell_length_c 4.9310
_cell_angle_alpha 90.00
_cell_angle_beta 90.00
_cell_angle_gamma 90.00
loop_
_atom_site_label
_atom_site_fract_x
_atom_site_fract_y
_atom_site_fract_z
Gd1 0.0000 0.0000 0.0000
Cd1 0.0000 0.5000 0.5000
Ge1 0.5000 0.5000 0.0000
```

Computed properties:
Total energy, eV/cell: -22.11
Calculated density, g/cm³: 8.3
Energy relative to the lowest polymorph listed for this composition, eV per atom: 0.000

(16)
Computed, not measured: GdCdGe4 after structural relaxation at the PBE level of DFT.

Geometry as CIF:
```
data_GdCdGe4
_chemical_formula_sum 'Gd4 Cd4 Ge16'
_symmetry_space_group_name_H-M 'F -4 3 m'
_symmetry_Int_Tables_number 216
_symmetry_space_group_name_Hall 'F -4 2 3'
_cell_length_a 7.9570
_cell_length_b 7.9570
_cell_length_c 7.9570
_cell_angle_alpha 90.00
_cell_angle_beta 90.00
_cell_angle_gamma 90.00
loop_
_atom_site_label
_atom_site_fract_x
_atom_site_fract_y
_atom_site_fract_z
Gd1 0.0000 0.0000 0.0000
Cd1 0.2500 0.2500 0.7500
Ge1 0.1253 0.1253 0.3747
```

Computed properties:
Total energy, eV/cell: -138.03
Calculated density, g/cm³: 7.4

(17)
Computed, not measured: LiGdCdGe after structural relaxation at the PBE level of DFT.

Geometry as CIF:
```
data_LiGdCdGe
_chemical_formula_sum 'Li4 Gd4 Cd4 Ge4'
_symmetry_space_group_name_H-M 'F -4 3 m'
_symmetry_Int_Tables_number 216
_symmetry_space_group_name_Hall 'F -4 2 3'
_cell_length_a 7.0321
_cell_length_b 7.0321
_cell_length_c 7.0321
_cell_angle_alpha 90.00
_cell_angle_beta 90.00
_cell_angle_gamma 90.00
loop_
_atom_site_label
_atom_site_fract_x
_atom_site_fract_y
_atom_site_fract_z
Li1 0.0000 0.0000 0.0000
Gd1 0.0000 0.0000 0.5000
Cd1 0.2500 0.2500 0.2500
Ge1 0.2500 0.2500 0.7500
```

Computed properties:
Total energy, eV/cell: -92.85
Calculated density, g/cm³: 6.7

(18)
Computed, not measured: GdLuCdGe after structural relaxation at the PBE level of DFT.

Geometry as CIF:
```
data_GdLuCdGe
_chemical_formula_sum 'Gd4 Lu4 Cd4 Ge4'
_symmetry_space_group_name_H-M 'F -4 3 m'
_symmetry_Int_Tables_number 216
_symmetry_space_group_name_Hall 'F -4 2 3'
_cell_length_a 7.2543
_cell_length_b 7.2543
_cell_length_c 7.2543
_cell_angle_alpha 90.00
_cell_angle_beta 90.00
_cell_angle_gamma 90.00
loop_
_atom_site_label
_atom_site_fract_x
_atom_site_fract_y
_atom_site_fract_z
Gd1 0.0000 0.0000 0.0000
Lu1 0.0000 0.0000 0.5000
Cd1 0.2500 0.2500 0.7500
Ge1 0.2500 0.2500 0.2500
```

Computed properties:
Total energy, eV/cell: -103.71
Calculated density, g/cm³: 9.0

(19)
Computed, not measured: GdCdGePt after structural relaxation at the PBE level of DFT.

Geometry as CIF:
```
data_GdCdGePt
_chemical_formula_sum 'Gd4 Cd4 Ge4 Pt4'
_symmetry_space_group_name_H-M 'F -4 3 m'
_symmetry_Int_Tables_number 216
_symmetry_space_group_name_Hall 'F -4 2 3'
_cell_length_a 6.9007
_cell_length_b 6.9007
_cell_length_c 6.9007
_cell_angle_alpha 90.00
_cell_angle_beta 90.00
_cell_angle_gamma 90.00
loop_
_atom_site_label
_atom_site_fract_x
_atom_site_fract_y
_atom_site_fract_z
Gd1 0.0000 0.0000 0.0000
Cd1 0.0000 0.0000 0.5000
Ge1 0.2500 0.2500 0.7500
Pt1 0.2500 0.2500 0.2500
```

Computed properties:
Total energy, eV/cell: -111.64
Calculated density, g/cm³: 10.9

(20)
Computed, not measured: GdPuCdGe after structural relaxation at the PBE level of DFT.

Geometry as CIF:
```
data_GdPuCdGe
_chemical_formula_sum 'Gd4 Pu4 Cd4 Ge4'
_symmetry_space_group_name_H-M 'F -4 3 m'
_symmetry_Int_Tables_number 216
_symmetry_space_group_name_Hall 'F -4 2 3'
_cell_length_a 7.3645
_cell_length_b 7.3645
_cell_length_c 7.3645
_cell_angle_alpha 90.00
_cell_angle_beta 90.00
_cell_angle_gamma 90.00
loop_
_atom_site_label
_atom_site_fract_x
_atom_site_fract_y
_atom_site_fract_z
Gd1 0.0000 0.0000 0.0000
Pu1 0.0000 0.0000 0.5000
Cd1 0.2500 0.2500 0.7500
Ge1 0.2500 0.2500 0.2500
```

Computed properties:
Total energy, eV/cell: -140.47
Calculated density, g/cm³: 9.7